## TbPu2Se4 (PBE)

Data for TbPu2Se4 after structural relaxation.

The space group is Imma (No. 74) and the conventional cell measures 8.278, 8.280 and 11.524 Å, with angles of 90.00, 90.00 and 90.00 degrees. The distinct sites, in fractional coordinates, are Tb at (0.250, 0.250, 0.250), Pu at (0.000, 0.000, 0.000), Pu at (0.250, 0.250, 0.750), Se at (0.000, 0.003, 0.254) and Se at (0.243, 0.250, 0.001).

For the mass density, the calculation gives 8.10 Mg/m³. The energy relative to the lowest polymorph listed for this composition comes out at 0.0000 eV/atom. As for the uncorrected energy: -8.37 eV per atom.